Entry 1:
A plane-wave DFT calculation with PBE was carried out for an optimized crystal structure of Ho2CI.

The calculation puts the total DFT energy (no corrections) at -5.724 eV/atom. The value obtained for the formation energy without anion corrections is -286.1 kJ/mol of formula units. Its calculated density is 8.68 Mg/m³. Its spin magnetization is 0.000 μB per atom.

The space group is R3m (No. 160, hexagonal axes) and the conventional cell measures 3.7437, 3.7437 and 22.1588 Å, with angles of 90.00, 90.00 and 120.00 degrees. The distinct sites, in fractional coordinates, are Ho at (0.0000, 0.0000, 0.0000), Ho at (0.0000, 0.0000, 0.2202), C at (0.0000, 0.0000, 0.6122) and I at (0.0000, 0.0000, 0.4432).

Entry 2:
A plane-wave DFT calculation with PBE was carried out for an optimized crystal structure of ErLuInPb.

The calculation puts the total DFT energy (no corrections) at -4.225 eV/atom. Its calculated density is 10.25 Mg/m³. The value obtained for the calculated formation energy is -0.342 eV per atom. Its spin magnetization is 0.000 μB per atom.

The space group is F-43m (No. 216) and the conventional cell measures 7.5503, 7.5503 and 7.5503 Å, with angles of 90.00, 90.00 and 90.00 degrees. The distinct sites, in fractional coordinates, are Er at (0.0000, 0.0000, 0.0000), Lu at (0.0000, 0.0000, 0.5000), In at (0.2500, 0.2500, 0.7500) and Pb at (0.2500, 0.2500, 0.2500).

Entry 3:
A plane-wave DFT calculation with PBE was carried out for an optimized crystal structure of Pm4InSb.

The calculation puts the total DFT energy (no corrections) at -4.668 eV/atom. The value obtained for the formation energy without anion corrections is -206.9 kJ/mol of formula units. Its calculated density is 6.67 Mg/m³. Its spin magnetization is 0.000 μB per atom.

The space group is Cmcm (No. 63) and the conventional cell measures 5.7553, 21.8415 and 6.4726 Å, with angles of 90.00, 90.00 and 90.00 degrees. The distinct sites, in fractional coordinates, are Pm at (0.0000, 0.0662, 0.2500), Pm at (0.0000, 0.2103, 0.9998), Pm at (0.0000, 0.3732, 0.2500), In at (0.0000, 0.0749, 0.7500) and Sb at (0.0000, 0.3458, 0.7500).

Entry 4:
A plane-wave DFT calculation with PBE was carried out for an optimized crystal structure of BaSrCaPd2.

The calculation puts the total DFT energy (no corrections) at -2.930 eV/atom. Its calculated density is 4.82 Mg/m³. The value obtained for the calculated formation energy is 0.268 eV per atom. Its spin magnetization is 0.000 μB per atom.

The space group is P4/mmm (No. 123) and the conventional cell measures 5.3097, 5.3097 and 5.8379 Å, with angles of 90.00, 90.00 and 90.00 degrees. The distinct sites, in fractional coordinates, are Ba at (0.0000, 0.0000, 0.0000), Sr at (0.5000, 0.5000, 0.0000), Ca at (0.0000, 0.0000, 0.5000) and Pd at (0.0000, 0.5000, 0.5000).

Entry 5:
A plane-wave DFT calculation with PBE was carried out for an optimized crystal structure of TlGeAsO4.

The calculation puts the total DFT energy (no corrections) at -5.782 eV/atom. The value obtained for the formation energy without anion corrections is -868.9 kJ/mol of formula units. Its calculated density is 4.84 Mg/m³. Its spin magnetization is 0.000 μB per atom.

The space group is P2_1/m (No. 11) and the conventional cell measures 6.9997, 5.5341 and 7.7421 Å, with angles of 90.00, 107.75 and 90.00 degrees. The distinct sites, in fractional coordinates, are Tl at (0.2264, 0.2500, 0.0383), Ge at (0.1861, 0.7500, 0.6985), As at (0.2644, 0.2500, 0.5317), O at (0.0010, 0.2500, 0.5236), O at (0.1046, 0.7500, 0.8861) and O at (0.3465, 0.0060, 0.6944).

Entry 6:
A plane-wave DFT calculation with PBE was carried out for an optimized crystal structure of SmTmScIn.

The energy above the most stable polymorph in this dataset is 0.00 eV/f.u. The calculation puts the total DFT energy (no corrections) at -4.718 eV/atom. Its calculated density is 7.32 Mg/m³. The value obtained for the calculated formation energy is -0.153 eV per atom. Its spin magnetization is 0.224 μB per atom.

The space group is F-43m (No. 216) and the conventional cell measures 7.5747, 7.5747 and 7.5747 Å, with angles of 90.00, 90.00 and 90.00 degrees. The distinct sites, in fractional coordinates, are Sm at (0.0000, 0.0000, 0.0000), Tm at (0.0000, 0.0000, 0.5000), Sc at (0.2500, 0.2500, 0.7500) and In at (0.2500, 0.2500, 0.2500).

Entry 7:
A plane-wave DFT calculation with PBE was carried out for an optimized crystal structure of LiLa2HRh.

The energy above the most stable polymorph in this dataset is 0.00 eV/f.u. The calculation puts the total DFT energy (no corrections) at -4.917 eV/atom. Its calculated density is 6.54 Mg/m³. Its spin magnetization is 0.000 μB per atom.

The space group is P4/mmm (No. 123) and the conventional cell measures 5.0999, 5.0999 and 3.7968 Å, with angles of 90.00, 90.00 and 90.00 degrees. The distinct sites, in fractional coordinates, are Li at (0.0000, 0.0000, 0.0000), La at (0.0000, 0.5000, 0.5000), H at (0.0000, 0.0000, 0.5000) and Rh at (0.5000, 0.5000, 0.0000).